This record from the Alexandria database describes crystalline Lu3Mn5H12 at its relaxed geometry. The functional is PBE.

a = 9.6150 Å, b = 9.6150 Å, c = 9.6150 Å
α = 109.47°, β = 109.47°, γ = 109.47°
Closest atoms and distances in Å follow each position.
Fractional coordinates of all 80 atoms:
Mn  0.7500  0.1250  0.8750  4 H 1.77
Mn  0.2500  0.8750  0.1250  4 H 1.77
Mn  0.5000  0.5000  0.0000  6 H 1.69
Mn  0.0000  0.5000  0.5000  6 H 1.69
Mn  0.0000  0.0000  0.5000  6 H 1.69
Mn  0.3750  0.1250  0.7500  4 H 1.77
Mn  0.5000  0.5000  0.5000  6 H 1.69
Mn  0.6250  0.8750  0.2500  4 H 1.77
Mn  0.1250  0.3750  0.2500  4 H 1.77
Mn  0.1250  0.7500  0.3750  4 H 1.77
Mn  0.0000  0.0000  0.0000  6 H 1.69
Mn  0.0000  0.5000  0.0000  6 H 1.69
Mn  0.8750  0.6250  0.7500  4 H 1.77
Mn  0.3750  0.2500  0.1250  4 H 1.77
Mn  0.5000  0.0000  0.5000  6 H 1.69
Mn  0.6250  0.7500  0.8750  4 H 1.77
Mn  0.2500  0.3750  0.6250  4 H 1.77
Mn  0.7500  0.6250  0.3750  4 H 1.77
Mn  0.8750  0.2500  0.6250  4 H 1.77
Mn  0.5000  0.0000  0.0000  6 H 1.69
H  0.6646  0.1955  0.5813  2 Mn 1.69-1.77
H  0.8859  0.3045  0.4691  2 Mn 1.69-1.77
H  0.8354  0.9187  0.3045  2 Mn 1.69-1.77
H  0.4691  0.8045  0.8859  2 Mn 1.69-1.77
H  0.9691  0.3859  0.3045  2 Mn 1.69-1.77
H  0.6141  0.0309  0.1955  2 Mn 1.69-1.77
H  0.3859  0.9691  0.8045  2 Mn 1.69-1.77
H  0.5813  0.6955  0.6646  2 Mn 1.69-1.77
H  0.4187  0.3045  0.3354  2 Mn 1.69-1.77
H  0.3354  0.5309  0.4168  2 Mn 1.69-1.77
H  0.9187  0.0832  0.6141  2 Mn 1.69-1.77
H  0.1955  0.6646  0.0813  2 Mn 1.69-1.77
H  0.9168  0.0813  0.8859  2 Mn 1.69-1.77
H  0.4691  0.6646  0.0832  2 Mn 1.69-1.77
H  0.0309  0.4168  0.8354  2 Mn 1.69-1.77
H  0.5813  0.8859  0.4168  2 Mn 1.69-1.77
H  0.5832  0.6141  0.4187  2 Mn 1.69-1.77
H  0.0832  0.1646  0.4691  2 Mn 1.69-1.77
H  0.6646  0.4691  0.5832  2 Mn 1.69-1.77
H  0.8859  0.5813  0.9168  2 Mn 1.69-1.77
H  0.9187  0.8354  0.8045  2 Mn 1.69-1.77
H  0.3045  0.4187  0.8354  2 Mn 1.69-1.77
H  0.4187  0.1141  0.5832  2 Mn 1.69-1.77
H  0.0832  0.9187  0.1141  2 Mn 1.69-1.77
H  0.0813  0.1646  0.1955  2 Mn 1.69-1.77
H  0.4168  0.0309  0.3354  2 Mn 1.69-1.77
H  0.1141  0.6955  0.5309  2 Mn 1.69-1.77
H  0.5309  0.3354  0.9168  2 Mn 1.69-1.77
H  0.1141  0.4187  0.0832  2 Mn 1.69-1.77
H  0.5309  0.1955  0.1141  2 Mn 1.69-1.77
H  0.3859  0.4168  0.0813  2 Mn 1.69-1.77
H  0.6141  0.5832  0.9187  2 Mn 1.69-1.77
H  0.8354  0.9168  0.0309  2 Mn 1.69-1.77
H  0.9691  0.5832  0.1646  2 Mn 1.69-1.77
H  0.1646  0.0813  0.6955  2 Mn 1.69-1.77
H  0.5832  0.9691  0.6646  2 Mn 1.69-1.77
H  0.4168  0.3859  0.5813  2 Mn 1.69-1.77
H  0.0813  0.9168  0.3859  2 Mn 1.69-1.77
H  0.1646  0.0832  0.9691  2 Mn 1.69-1.77
H  0.6955  0.1141  0.0309  2 Mn 1.69-1.77
H  0.1955  0.5309  0.6141  2 Mn 1.69-1.77
H  0.6955  0.5813  0.1646  2 Mn 1.69-1.77
H  0.3045  0.8859  0.9691  2 Mn 1.69-1.77
H  0.3354  0.8045  0.4187  2 Mn 1.69-1.77
H  0.0309  0.6141  0.6955  2 Mn 1.69-1.77
H  0.8045  0.3354  0.9187  2 Mn 1.69-1.77
H  0.8045  0.4691  0.3859  2 Mn 1.69-1.77
H  0.9168  0.8354  0.5309  2 Mn 1.69-1.77
Lu  0.7500  0.3750  0.1250  8 H 2.16-2.18
Lu  0.7500  0.8750  0.6250  8 H 2.16-2.18
Lu  0.8750  0.1250  0.2500  8 H 2.16-2.18
Lu  0.2500  0.1250  0.3750  8 H 2.16-2.18
Lu  0.1250  0.2500  0.8750  8 H 2.16-2.18
Lu  0.6250  0.3750  0.7500  8 H 2.16-2.18
Lu  0.6250  0.2500  0.3750  8 H 2.16-2.18
Lu  0.3750  0.6250  0.2500  8 H 2.16-2.18
Lu  0.8750  0.7500  0.1250  8 H 2.16-2.18
Lu  0.2500  0.6250  0.8750  8 H 2.16-2.18
Lu  0.3750  0.7500  0.6250  8 H 2.16-2.18
Lu  0.1250  0.8750  0.7500  8 H 2.16-2.18

Computed properties:
calculated total energy	-0.3820	Ry/atom
density	7.9	g/cm³
magnetization	40.14	Bohr magnetons per cell
calculated volume	8.6	Å³ per atom